Computed, not measured: a relaxed structure of Mn2SiF at the PBE+U level of DFT.

Lattice parameters (Å, degrees): 4.4774 4.4774 4.4774 60.00 60.00 60.00
With the nearest neighbours (Å) after each atom.
Sites, in units of the cell vectors:
Si1 0.5000 0.5000 0.5000  8 Mn 2.74
Mn1 0.2500 0.2500 0.2500  4 Si 2.74, 4 F 2.74
Mn2 0.7500 0.7500 0.7500  4 Si 2.74, 4 F 2.74
F1 0.0000 0.0000 0.0000  8 Mn 2.74

The calculation puts the density of states at the Fermi level at 1.3 states/eV per cell. For the total magnetization, the calculation gives 9.00 Bohr magnetons per cell. For the total energy, the calculation gives -5.895 eV per atom. The value obtained for the volume is 15.87 Å³/atom.